Computed, not measured: an optimized crystal structure of Ac2Er3Se6 at the PBE-GGA level of DFT.

Lattice parameters (Å, degrees): 7.204 12.408 7.487 90.00 108.59 90.00
Space group C2/m (No. 12)
Asymmetric unit:
Ac (0.000, 0.166, 0.000) (multiplicity 4)
Er (0.000, 0.000, 0.500) (multiplicity 2)
Er (0.000, 0.334, 0.500) (multiplicity 4)
Se (0.235, 0.500, 0.728) (multiplicity 4)
Se (0.244, 0.164, 0.724) (multiplicity 8)

Results
The calculation puts the formation energy from raw total energies at -1.86 eV per atom. As for the density of states at the Fermi level: 9.808 states/eV/cell.